Entry 1:
Computed, not measured: a geometry-optimized MnB2Rh structure at the PBE level of DFT.

Structure (extended XYZ):
```
8
Lattice="-2.743 2.743 2.728 2.743 -2.743 2.728 2.743 2.743 -2.728" Properties=species:S:1:pos:R:3 pbc="T T T"
Mn 0.000 0.000 0.000
Mn 0.000 2.743 1.364
B 4.114 1.330 -0.682
B 1.330 1.371 0.682
B -1.371 1.413 2.046
B 1.413 1.371 3.410
Rh 2.743 0.000 1.364
Rh 0.000 0.000 2.728
```

Calculated values
* distance to the lowest polymorph of the same formula: 156 meV per atom
* magnetization: 1.9 μB/f.u.
* ρ: 7.3 g cm⁻³
* energy of formation from the pure elements: 0.238 eV/atom
* energy: -7.231 eV per atom
* Fermi-level density of states: 0.4254 states/eV/atom

***

Entry 2:
Computed, not measured: a geometry-optimized ErAl2ZnCu2 structure at the PBE level of DFT.

Structure (extended XYZ):
```
6
Lattice="4.425 0.000 0.000 0.000 4.425 0.000 0.000 0.000 5.530" Properties=species:S:1:pos:R:3 pbc="T T T"
Er 0.000 0.000 0.000
Al 2.213 2.213 1.322
Al 2.213 2.213 4.207
Zn 0.000 0.000 2.765
Cu 0.000 2.213 2.765
Cu 2.213 0.000 2.765
```

Calculated values
* magnetization: 0.0 μB/f.u.
* ρ: 6.3 g cm⁻³
* energy of formation from the pure elements: -0.045 eV/atom
* energy: -3.631 eV per atom
* Fermi-level density of states: 0.4107 states/eV/atom

***

Entry 3:
Computed, not measured: a geometry-optimized Zn2AgAu2 structure at the PBE level of DFT.

Structure (extended XYZ):
```
5
Lattice="4.190 -2.110 0.000 4.190 2.110 0.000 -3.534 0.000 4.693" Properties=species:S:1:pos:R:3 pbc="T T T"
Zn -0.266 0.000 1.332
Zn 5.113 0.000 3.361
Ag 2.423 0.000 2.347
Au -0.626 0.000 4.046
Au 5.473 0.000 0.647
```

Calculated values
* distance to the lowest polymorph of the same formula: 0 meV per atom
* magnetization: 0.0 μB/f.u.
* ρ: 12.7 g cm⁻³
* energy of formation from the pure elements: -0.154 eV/atom
* energy: -2.545 eV per atom
* Fermi-level density of states: 0.1584 states/eV/atom

***

Entry 4:
Computed, not measured: a geometry-optimized AcTaRh2 structure at the PBE level of DFT.

Structure (extended XYZ):
```
4
Lattice="3.280 0.000 0.000 0.000 3.280 0.000 0.000 0.000 7.616" Properties=species:S:1:pos:R:3 pbc="T T T"
Ac 0.000 0.000 0.000
Ta 0.000 0.000 3.808
Rh 1.640 1.640 2.377
Rh 1.640 1.640 5.239
```

Calculated values
* magnetization: 0.0 μB/f.u.
* ρ: 12.4 g cm⁻³
* energy of formation from the pure elements: -0.382 eV/atom
* energy: -8.048 eV per atom
* Fermi-level density of states: 0.8443 states/eV/atom

***

Entry 5:
Computed, not measured: a geometry-optimized CrAs2Rh structure at the PBE level of DFT.

Structure (extended XYZ):
```
4
Lattice="2.908 0.000 0.000 0.000 3.023 0.000 0.000 0.000 7.070" Properties=species:S:1:pos:R:3 pbc="T T T"
Cr 0.000 0.000 0.000
As 1.454 1.512 1.508
As 1.454 1.512 5.562
Rh 0.000 1.512 3.535
```

Calculated values
* magnetization: 1.2 μB/f.u.
* ρ: 8.1 g cm⁻³
* energy of formation from the pure elements: 0.022 eV/atom
* energy: -6.546 eV per atom
* Fermi-level density of states: 0.8844 states/eV/atom

***

Entry 6:
Computed, not measured: a geometry-optimized Cs4SrH6 structure at the PBE level of DFT.

Structure (extended XYZ):
```
22
Lattice="5.981 3.453 4.988 -5.981 3.453 4.988 0.000 -6.906 4.988" Properties=species:S:1:pos:R:3 pbc="T T T"
Cs -3.824 0.282 6.236
Cs 0.000 0.000 3.741
Cs -2.156 -3.171 8.730
Cs 1.668 -3.453 6.236
Cs -1.668 3.453 8.730
Cs 2.156 3.171 6.236
Cs 0.000 0.000 11.224
Cs 3.824 -0.282 8.730
Sr 0.000 0.000 0.000
Sr 0.000 0.000 7.483
H -5.164 -1.619 8.519
H -1.180 -5.281 6.446
H -1.180 -1.624 6.025
H -3.984 3.663 6.446
H -0.817 1.834 6.025
H -1.997 0.210 8.941
H 1.997 -0.210 6.025
H 0.817 -1.834 8.941
H 3.984 -3.663 8.519
H 1.180 1.624 8.941
H 1.180 5.281 8.519
H 5.164 1.619 6.446
```

Calculated values
* magnetization: 0.0 μB/f.u.
* ρ: 3.4 g cm⁻³
* energy: -2.542 eV per atom
* Fermi-level density of states: 0.0000 states/eV/atom

***

Entry 7:
Computed, not measured: a geometry-optimized ReIr2Pt structure at the PBE level of DFT.

Structure (extended XYZ):
```
4
Lattice="4.598 -1.368 0.000 4.598 1.368 0.000 -0.796 0.000 4.715" Properties=species:S:1:pos:R:3 pbc="T T T"
Re 0.000 0.000 0.000
Ir 1.741 0.000 3.579
Ir 6.659 0.000 1.136
Pt 4.200 0.000 2.358
```

Calculated values
* distance to the lowest polymorph of the same formula: 80 meV per atom
* magnetization: 0.0 μB/f.u.
* ρ: 21.4 g cm⁻³
* energy of formation from the pure elements: -0.070 eV/atom
* energy: -9.123 eV per atom
* Fermi-level density of states: 1.0235 states/eV/atom

***

Entry 8:
Computed, not measured: a geometry-optimized Y2TlTc2 structure at the PBE level of DFT.

Structure (extended XYZ):
```
5
Lattice="-1.782 1.782 9.376 1.782 -1.782 9.376 1.782 1.782 -9.376" Properties=species:S:1:pos:R:3 pbc="T T T"
Y 0.000 0.000 2.179
Y 0.000 0.000 16.572
Tl 0.000 0.000 9.376
Tc 1.782 0.000 4.688
Tc 0.000 1.782 4.688
```

Calculated values
* distance to the lowest polymorph of the same formula: 43 meV per atom
* magnetization: 0.0 μB/f.u.
* ρ: 8.1 g cm⁻³
* energy of formation from the pure elements: 0.011 eV/atom
* energy: -7.194 eV per atom
* Fermi-level density of states: 0.6720 states/eV/atom

***

Entry 9:
Computed, not measured: a geometry-optimized Sc3AuO structure at the PBE level of DFT.

Structure (extended XYZ):
```
20
Lattice="5.367 -6.027 0.000 5.367 6.027 0.000 -0.451 0.000 5.479" Properties=species:S:1:pos:R:3 pbc="T T T"
Sc 3.870 4.234 5.221
Sc 3.901 2.362 2.213
Sc 6.187 4.234 2.997
Sc 3.711 0.881 4.951
Sc 6.608 2.362 0.527
Sc 3.937 -0.881 2.212
Sc 6.346 0.881 3.267
Sc 3.675 -2.362 4.952
Sc 6.572 -0.881 0.527
Sc 4.096 -4.234 2.482
Sc 6.382 -2.362 3.266
Sc 6.413 -4.234 0.257
Au 1.613 0.899 3.016
Au 1.839 -0.899 0.277
Au 8.444 0.899 5.202
Au 8.669 -0.899 2.462
O 5.029 2.457 4.109
O 5.254 0.732 1.370
O 5.029 -0.732 4.109
O 5.254 -2.457 1.370
```

Calculated values
* magnetization: 0.0 μB/f.u.
* formation energy without anion corrections: -1448.4 meV/atom
* ρ: 6.5 g cm⁻³
* energy: -6.894 eV per atom
* Fermi-level density of states: 0.9519 states/eV/atom

***

Entry 10:
Computed, not measured: a geometry-optimized KSr3Rh structure at the PBE level of DFT.

Structure (extended XYZ):
```
10
Lattice="11.398 -2.110 0.000 11.398 2.110 0.000 -0.084 0.000 9.530" Properties=species:S:1:pos:R:3 pbc="T T T"
K 4.863 0.000 3.114
K 17.848 0.000 6.415
Sr 0.691 0.000 1.736
Sr 3.299 0.000 8.726
Sr 9.478 0.000 3.840
Sr 13.233 0.000 5.689
Sr 19.412 0.000 0.804
Sr 22.020 0.000 7.793
Rh 10.191 0.000 0.764
Rh 12.520 0.000 8.766
```

Calculated values
* distance to the lowest polymorph of the same formula: 56 meV per atom
* magnetization: 0.0 μB/f.u.
* ρ: 2.9 g cm⁻³
* energy of formation from the pure elements: -0.081 eV/atom
* energy: -2.780 eV per atom
* Fermi-level density of states: 0.7170 states/eV/atom

***

Entry 11:
Computed, not measured: a geometry-optimized YBe2W structure at the PBE level of DFT.

Structure (extended XYZ):
```
4
Lattice="4.582 0.000 0.000 0.000 4.582 0.000 0.000 0.000 2.833" Properties=species:S:1:pos:R:3 pbc="T T T"
Y 0.000 0.000 0.000
Be 0.000 2.291 1.417
Be 2.291 0.000 1.417
W 2.291 2.291 0.000
```

Calculated values
* distance to the lowest polymorph of the same formula: 264 meV per atom
* magnetization: 0.0 μB/f.u.
* ρ: 8.1 g cm⁻³
* energy of formation from the pure elements: 0.406 eV/atom
* energy: -6.312 eV per atom
* Fermi-level density of states: 0.7301 states/eV/atom

***

Entry 12:
Computed, not measured: a geometry-optimized CuTeMoI2 structure at the PBE level of DFT.

Structure (extended XYZ):
```
5
Lattice="5.685 0.000 0.000 0.000 5.685 0.000 0.000 0.000 5.220" Properties=species:S:1:pos:R:3 pbc="T T T"
Cu 0.000 0.000 0.000
Te 2.843 2.843 0.000
Mo 2.843 2.843 2.610
I 0.000 2.843 2.610
I 2.843 0.000 2.610
```

Calculated values
* distance to the lowest polymorph of the same formula: 0 meV per atom
* magnetization: 2.3 μB/f.u.
* formation energy without anion corrections: 729.8 meV/atom
* ρ: 5.3 g cm⁻³
* energy: -3.504 eV per atom
* Fermi-level density of states: 0.6319 states/eV/atom